MoSeF: relaxed, PBE+U.

```
MoSeF
1.0
-0.8967 1.0249 3.3566
2.9961 -5.4142 4.0282
5.8366 -0.0514 3.1485
Mo Se F
2 2 2
Cartesian
6.3189 -3.8415 6.1995 Mo
1.6170 -0.5992 4.3338 Mo
4.0930 -3.6212 7.4919 Se
3.8429 -0.8195 3.0414 Se
6.5674 -1.7113 5.6163 F
1.3686 -2.7294 4.9170 F
```

Output
- V: 22.514 A^3/atom
- Total magnetization: 2.011 Bohr magnetons per cell
- Space-group type: P-1, No. 2
- E: -30.663 eV for the cell shown